Record 1
DFT (PBE) results for a relaxed structure of PuThCo4.

Geometry as POSCAR:
```
PuThCo4
1.0
0.000 3.585 3.585
3.585 0.000 3.585
3.585 3.585 0.000
Pu Th Co
1 1 4
Cartesian
0.000 0.000 0.000 Pu
1.793 1.793 1.793 Th
4.491 2.680 2.680 Co
2.680 4.491 2.680 Co
2.680 2.680 4.491 Co
4.491 4.491 4.491 Co
```

Calculated values
E_form (eV per atom): -0.1705
M_tot (μB/cell): 2.3
Fermi-level density of states (states/eV/cell): 15.02


Record 2
DFT (PBE) results for a relaxed structure of PuTi5Co4.

Geometry as POSCAR:
```
PuTi5Co4
1.0
2.995 0.000 0.000
0.000 2.995 0.000
0.000 0.000 16.131
Pu Ti Co
1 5 4
Cartesian
0.000 0.000 0.000 Pu
1.497 1.497 2.189 Ti
1.497 1.497 5.142 Ti
1.497 1.497 8.065 Ti
1.497 1.497 10.989 Ti
1.497 1.497 13.942 Ti
0.000 0.000 3.703 Co
0.000 0.000 6.606 Co
0.000 0.000 9.524 Co
0.000 0.000 12.427 Co
```

Calculated values
E_form (eV per atom): -0.2718
M_tot (μB/cell): 3.3
Fermi-level density of states (states/eV/cell): 12.68


Record 3
DFT (PBE) results for a relaxed structure of PuTiCo.

Geometry as POSCAR:
```
PuTiCo
1.0
0.000 4.339 4.552
2.590 0.000 4.552
2.590 4.339 0.000
Pu Ti Co
2 2 2
Cartesian
2.590 1.439 4.552 Pu
2.590 7.238 4.552 Pu
2.590 4.339 3.058 Ti
2.590 4.339 6.046 Ti
1.295 2.169 2.276 Co
3.885 6.508 6.828 Co
```

Calculated values
E_form (eV per atom): -0.0658
M_tot (μB/cell): 8.5
Fermi-level density of states (states/eV/cell): 15.70


Record 4
DFT (PBE) results for a relaxed structure of PuTiCo4.

Geometry as POSCAR:
```
PuTiCo4
1.0
0.000 3.445 3.445
3.445 0.000 3.445
3.445 3.445 0.000
Pu Ti Co
1 1 4
Cartesian
0.000 0.000 0.000 Pu
5.167 5.167 5.167 Ti
2.588 2.588 2.588 Co
4.302 4.302 2.588 Co
4.302 2.588 4.302 Co
2.588 4.302 4.302 Co
```

Calculated values
E_form (eV per atom): -0.1769
M_tot (μB/cell): 2.0
Fermi-level density of states (states/eV/cell): 10.44


Record 5
DFT (PBE) results for a relaxed structure of PuTi2Co.

Geometry as POSCAR:
```
PuTi2Co
1.0
3.003 0.000 0.000
0.000 3.003 0.000
0.000 0.000 7.319
Pu Ti Co
1 2 1
Cartesian
0.000 0.000 0.000 Pu
1.501 1.501 2.180 Ti
1.501 1.501 5.140 Ti
0.000 0.000 3.660 Co
```

Calculated values
E_form (eV per atom): -0.0989
M_tot (μB/cell): 4.3
Offset from the most stable computed form (meV/atom): 0
Fermi-level density of states (states/eV/cell): 5.50


Record 6
DFT (PBE) results for a relaxed structure of PuTiCo2.

Geometry as POSCAR:
```
PuTiCo2
1.0
2.979 0.000 0.000
0.000 2.979 0.000
0.000 0.000 6.843
Pu Ti Co
1 1 2
Cartesian
0.000 0.000 0.000 Pu
0.000 0.000 3.422 Ti
1.489 1.489 2.042 Co
1.489 1.489 4.802 Co
```

Calculated values
E_form (eV per atom): -0.1416
M_tot (μB/cell): 5.3
Offset from the most stable computed form (meV/atom): 0
Fermi-level density of states (states/eV/cell): 8.83


Record 7
DFT (PBE) results for a relaxed structure of PuTi4Co.

Geometry as POSCAR:
```
PuTi4Co
1.0
2.255 -7.554 0.000
2.255 7.554 0.000
0.000 0.000 6.012
Pu Ti Co
2 8 2
Cartesian
2.255 5.123 3.006 Pu
2.255 -5.123 0.000 Pu
2.255 7.264 5.238 Ti
2.255 4.859 0.320 Ti
2.255 2.133 1.601 Ti
2.255 0.779 3.985 Ti
2.255 -0.779 0.979 Ti
2.255 -2.133 4.607 Ti
2.255 -4.859 3.326 Ti
2.255 -7.264 2.232 Ti
2.255 3.146 4.577 Co
2.255 -3.146 1.572 Co
```

Calculated values
E_form (eV per atom): -0.0045
M_tot (μB/cell): 9.5
Fermi-level density of states (states/eV/cell): 18.44


Record 8
DFT (PBE) results for a relaxed structure of PuTiCo2.

Geometry as POSCAR:
```
PuTiCo2
1.0
4.493 0.000 0.000
0.000 4.493 0.000
0.000 0.000 3.053
Pu Ti Co
1 1 2
Cartesian
0.000 0.000 0.000 Pu
2.247 2.247 0.000 Ti
0.000 2.247 1.527 Co
2.247 0.000 1.527 Co
```

Calculated values
E_form (eV per atom): -0.0413
M_tot (μB/cell): 3.6
Offset from the most stable computed form (meV/atom): 100
Fermi-level density of states (states/eV/cell): 9.60


Record 9
DFT (PBE) results for a relaxed structure of PuTi2Co.

Geometry as POSCAR:
```
PuTi2Co
1.0
0.000 3.204 3.204
3.204 0.000 3.204
3.204 3.204 0.000
Pu Ti Co
1 2 1
Cartesian
0.000 0.000 0.000 Pu
1.602 1.602 1.602 Ti
3.204 3.204 3.204 Ti
4.806 4.806 4.806 Co
```

Calculated values
E_form (eV per atom): 0.0605
M_tot (μB/cell): 2.6
Offset from the most stable computed form (meV/atom): 159
Fermi-level density of states (states/eV/cell): 8.01


Record 10
DFT (PBE) results for a relaxed structure of Pu2TlCo.

Geometry as POSCAR:
```
Pu2TlCo
1.0
1.809 1.044 8.654
-1.809 1.044 8.654
0.000 -2.089 8.654
Pu Tl Co
2 1 1
Cartesian
0.000 0.000 0.000 Pu
0.000 0.000 5.397 Pu
0.000 0.000 11.344 Tl
0.000 0.000 15.840 Co
```

Calculated values
E_form (eV per atom): 0.1519
M_tot (μB/cell): 0.6
Offset from the most stable computed form (meV/atom): 154
Fermi-level density of states (states/eV/cell): 17.54


Record 11
DFT (PBE) results for a relaxed structure of Pu3TlCo.

Geometry as POSCAR:
```
Pu3TlCo
1.0
5.093 0.000 0.000
0.000 5.093 0.000
0.000 0.000 5.093
Pu Tl Co
3 1 1
Cartesian
0.000 0.000 2.546 Pu
0.000 2.546 0.000 Pu
2.546 0.000 0.000 Pu
2.546 2.546 2.546 Tl
0.000 0.000 0.000 Co
```

Calculated values
E_form (eV per atom): 0.1375
M_tot (μB/cell): 16.4
Fermi-level density of states (states/eV/cell): 26.05


Record 12
DFT (PBE) results for a relaxed structure of Pu2TlCo.

Geometry as POSCAR:
```
Pu2TlCo
1.0
1.790 1.033 9.886
-1.790 1.033 9.886
0.000 -2.066 9.886
Pu Tl Co
2 1 1
Cartesian
0.000 0.000 3.317 Pu
0.000 0.000 26.341 Pu
0.000 0.000 0.000 Tl
0.000 0.000 14.829 Co
```

Calculated values
E_form (eV per atom): 0.2400
M_tot (μB/cell): 10.7
Offset from the most stable computed form (meV/atom): 242
Fermi-level density of states (states/eV/cell): 14.72